VASP calculation (meta-GGA SCAN) on a PBEsol-optimized structure of TcSbCl2.

- space group = No. 38
- density of states at the Fermi level (states/eV per cell) = 1.36
- offset from the most stable computed form (meV/atom) = 0.0
- volume (Å³/cell) = 91

abc: 3.1200 4.2589 7.1387
angles: 107.36 90.00 90.00
Last column: nearest neighbours and their distance in Å.
Atoms (fractional coordinates):
Sb 0.0000 0.5430 0.0861  4 Tc 2.82, 4 Cl 3.01, 2 Sb 3.12
Tc 0.5000 0.9704 0.9408  3 Cl 2.33-2.44
Cl 0.0000 0.8431 0.6861  2 Tc 2.33
Cl 0.5000 0.1492 0.2984  1 Tc 2.44